KLaGeS2, optimized geometry, DFT PBE; total magnetic moment = 0.00 Bohr magnetons per cell; symmetry = No. 123; uncorrected formation energy = 0 kJ/mol of atoms
1.0
-4.171 -2.793 0.799
2.892 -3.861 1.600
-0.274 1.779 4.788
Ge La S K
1 1 2 1
Direct
0.000 0.000 0.000
0.500 0.500 0.500
0.000 0.500 0.000
0.500 0.000 0.000
0.000 0.000 0.500

ScSiPt2, optimized geometry, DFT PBE; total magnetic moment = 0.00 Bohr magnetons per cell; symmetry = No. 123; uncorrected formation energy = -82 kJ/mol of atoms
1.0
-3.386 2.227 0.024
-0.476 -0.767 3.949
2.071 3.140 0.859
Pt Sc Si
2 1 1
Direct
0.500 0.500 0.000
0.000 0.000 0.000
0.500 0.000 0.500
0.000 0.500 0.500

Sr3CaAu, optimized geometry, DFT PBE; total magnetic moment = 0.00 Bohr magnetons per cell; offset from the most stable computed form = 0.0 kJ per mole of atoms; DFT formation energy = -0.3488 eV per atom; symmetry = No. 8
1.0
-1.165 -1.837 -3.711
-5.686 -4.353 1.446
-9.603 9.416 -4.138
Au Sr Ca
2 6 2
Direct
0.431 0.351 0.788
0.774 0.315 0.137
0.984 0.117 0.914
0.770 0.083 0.378
0.434 0.626 0.507
0.450 0.956 0.145
0.096 0.172 0.635
0.771 0.689 0.768
0.115 0.506 0.265
0.236 0.524 0.004